Record 1
{"formula": "BaBi2IrO8", "functional": "GGA-PBE", "state": "relaxed", "lattice": [[-3.153, 0.593, 3.649], [1.145, -4.763, 2.740], [4.966, 2.375, 4.811]], "species": ["Ba", "Bi", "O", "O", "Ir", "O", "O", "O", "O", "O", "O", "Bi"], "fractional_positions": [[0.000, 0.000, 0.500], [0.546, 0.559, 0.256], [0.111, 0.734, 0.214], [0.575, 0.722, 0.502], [0.000, 0.000, 0.000], [0.889, 0.266, 0.786], [0.425, 0.278, 0.498], [0.694, 0.838, 0.986], [0.306, 0.162, 0.014], [0.796, 0.179, 0.175], [0.204, 0.821, 0.825], [0.454, 0.441, 0.744]], "rho_g_cm3": 7.501, "volume_a3_per_fu": 193.8, "sg": "No. 2", "e_form_raw_ev_per_atom": -1.12, "dos_at_fermi_per_ev_atom": 0.3685}

Record 2
{"formula": "ZnNiPt", "functional": "GGA-PBE", "state": "relaxed", "lattice": [[2.774, -0.001, -0.164], [0.001, 2.779, -0.004], [0.611, 0.016, 10.375]], "species": ["Ni", "Zn", "Zn", "Pt", "Ni", "Pt"], "fractional_positions": [[0.372, 0.791, 0.685], [0.373, 0.791, 0.980], [0.872, 0.291, 0.532], [0.372, 0.791, 0.357], [0.872, 0.291, 0.827], [0.873, 0.291, 0.155]], "rho_g_cm3": 13.207, "volume_a3_per_fu": 40.1, "sg": "No. 129", "e_form_ev_per_atom": -0.250, "dos_at_fermi_per_ev_atom": 0.6807}

Copy entry 1 word for word.
{"formula": "BaBi2IrO8", "functional": "GGA-PBE", "state": "relaxed", "lattice": [[-3.153, 0.593, 3.649], [1.145, -4.763, 2.740], [4.966, 2.375, 4.811]], "species": ["Ba", "Bi", "O", "O", "Ir", "O", "O", "O", "O", "O", "O", "Bi"], "fractional_positions": [[0.000, 0.000, 0.500], [0.546, 0.559, 0.256], [0.111, 0.734, 0.214], [0.575, 0.722, 0.502], [0.000, 0.000, 0.000], [0.889, 0.266, 0.786], [0.425, 0.278, 0.498], [0.694, 0.838, 0.986], [0.306, 0.162, 0.014], [0.796, 0.179, 0.175], [0.204, 0.821, 0.825], [0.454, 0.441, 0.744]], "rho_g_cm3": 7.501, "volume_a3_per_fu": 193.8, "sg": "No. 2", "e_form_raw_ev_per_atom": -1.12, "dos_at_fermi_per_ev_atom": 0.3685}